Record 1
PBE-GGA TlInRu2, relaxed; formation energy = 367 meV/atom; size of the total moment = 0.0 μB/f.u.; calculated volume = 69.57 Å³/f.u.; space-group type = P4/mmm (123); offset from the most stable computed form = 73.2 meV/atom
1.0
3.264 0.000 0.000
0.000 3.262 0.000
0.000 0.000 6.534
Tl Ru In
1 2 1
direct
0.500 0.500 0.250 Tl
0.000 0.000 0.506 Ru
0.000 0.000 0.994 Ru
0.500 0.500 0.750 In


Record 2
PBE-GGA TlIn2Ru, relaxed; formation energy = 522 meV/atom; size of the total moment = 0.0 μB/f.u.; calculated volume = 86.52 Å³/f.u.; space-group type = F-43m (216); offset from the most stable computed form = 423.7 meV/atom
1.0
4.964 0.000 0.000
2.482 4.299 0.000
2.482 1.433 4.053
Ru In Tl
1 2 1
direct
0.500 0.500 0.500 Ru
0.000 0.000 0.000 In
0.250 0.250 0.250 In
0.750 0.750 0.750 Tl


Record 3
PBE-GGA TlIn2Ru, relaxed; formation energy = 531 meV/atom; size of the total moment = 0.0 μB/f.u.; calculated volume = 91.01 Å³/f.u.; space-group type = I-42d (122); offset from the most stable computed form = 432.9 meV/atom
1.0
-1.809 2.403 -3.008
-0.205 -3.379 -2.576
-10.098 -2.735 0.879
In Ru Tl
4 2 2
direct
0.375 0.399 0.750 In
0.875 0.851 0.750 In
0.601 0.125 0.250 In
0.149 0.625 0.250 In
0.500 0.500 0.000 Ru
0.250 0.750 0.500 Ru
0.000 0.000 0.000 Tl
0.750 0.250 0.500 Tl